Record 1
# Tl2SbPd8 | Alexandria via LeMat-Bulk | PBE | relaxed
# E above lowest polymorph   0.000 eV per atom
data_Tl2SbPd8
_chemical_formula_sum 'Tl4 Sb2 Pd16'
_cell_length_a 17.871
_cell_length_b 4.679
_cell_length_c 4.790
_cell_angle_alpha 90.00
_cell_angle_beta 101.79
_cell_angle_gamma 90.00
_symmetry_space_group_name_H-M 'C 1 2/m 1'
_symmetry_Int_Tables_number 12
loop_
_symmetry_equiv_pos_as_xyz
'x,y,z'
'-x,-y,-z'
'-x,y,-z'
'x,-y,z'
'x+1/2,y+1/2,z'
'-x+1/2,-y+1/2,-z'
'-x+1/2,y+1/2,-z'
'x+1/2,-y+1/2,z'
loop_
_atom_site_label
_atom_site_fract_x
_atom_site_fract_y
_atom_site_fract_z
_atom_site_occupancy
Tl1 0.163 0.000 0.243 1
Sb1 0.000 0.500 0.500 1
Pd1 0.076 0.000 0.670 1
Pd2 0.079 0.500 0.063 1
Pd3 0.164 0.500 0.631 1
Pd4 0.249 0.000 0.811 1

Record 2
First-principles (PBE) data for a relaxed structure of Nd2AgSb4Pd3, as listed in Alexandria via LeMat-Bulk.

```
data_Nd2AgSb4Pd3
_chemical_formula_sum 'Nd2 Ag1 Sb4 Pd3'
_cell_length_a 4.495
_cell_length_b 4.495
_cell_length_c 11.524
_cell_angle_alpha 90.00
_cell_angle_beta 90.00
_cell_angle_gamma 90.00
_symmetry_space_group_name_H-M 'P -4 m 2'
_symmetry_Int_Tables_number 115
loop_
_symmetry_equiv_pos_as_xyz
'x,y,z'
'y,-x,-z'
'-x,-y,z'
'-y,x,-z'
'-x,y,z'
'-y,-x,-z'
'x,-y,z'
'y,x,-z'
loop_
_atom_site_label
_atom_site_fract_x
_atom_site_fract_y
_atom_site_fract_z
_atom_site_occupancy
Nd1 0.000 0.500 0.239 1
Ag1 0.500 0.500 0.000 1
Sb1 0.000 0.000 0.500 1
Sb2 0.000 0.500 0.862 1
Sb3 0.500 0.500 0.500 1
Pd1 0.000 0.000 0.000 1
Pd2 0.000 0.500 0.637 1
```

Record 3
# Sn2Hg2Cl | Alexandria via LeMat-Bulk | PBE | relaxed
# E above lowest polymorph   0.096 eV per atom
data_Sn2Hg2Cl
_chemical_formula_sum 'Sn4 Hg4 Cl2'
_cell_length_a 8.704
_cell_length_b 8.704
_cell_length_c 3.594
_cell_angle_alpha 90.00
_cell_angle_beta 90.00
_cell_angle_gamma 90.00
_symmetry_space_group_name_H-M 'P 4/m b m'
_symmetry_Int_Tables_number 127
_symmetry_space_group_name_Hall '-P 4 2ab'
loop_
_atom_site_label
_atom_site_fract_x
_atom_site_fract_y
_atom_site_fract_z
_atom_site_occupancy
Sn1 0.130 0.370 0.000 1
Hg1 0.171 0.671 0.500 1
Cl1 0.000 0.000 0.500 1

Number 1: DOS(E_F) 0.38 states/eV per atom, calculated total energy -106.2 eV per cell, formation energy from raw total energies -246 meV/atom. Number 2: DOS(E_F) 0.38 states/eV per atom, calculated total energy -51.5 eV per cell, formation energy from raw total energies -705 meV/atom. Number 3: DOS(E_F) 0.50 states/eV per atom, calculated total energy -21.4 eV per cell, formation energy from raw total energies -49 meV/atom.